LiHfNbN3 PBE-GGA optimized geometry; Fermi-level density of states = 3.35 states/eV per cell; ΔE_f (raw) = -0.92 eV per atom; space-group type = No. 11; V = 63.4 Å³/f.u.; magnetic moment = 0.00 μB/atom
1.0
6.4392 0.0000 0.0000
0.0000 3.0408 0.0000
-1.2419 0.0000 6.4716
Li Hf Nb N
2 2 2 6
Cartesian
0.4273 0.7602 0.5080
4.7701 2.2806 5.9635
1.7996 2.2806 2.0186
3.3977 0.7602 4.4530
0.2894 0.7602 4.6417
4.9080 2.2806 1.8299
0.1852 0.7602 2.3728
0.1946 2.2806 6.3202
1.8597 2.2806 4.2643
3.3377 0.7602 2.2073
5.0028 0.7602 0.1514
5.0122 2.2806 4.0988